Density functional theory data (PBE+U) for a relaxed MnPdNO2 crystal.

Results
The calculation puts the total energy at -5.837 eV/atom. As for the space group: P4/mmm (123). The total magnetic moment comes out at 4.7 μB per formula unit.

Cell lengths 4.140, 4.140, 3.673 Å; angles 90.00, 90.00, 90.00 degrees
Fractional coordinates of all 5 atoms:
Mn1 0.000 0.000 0.000
Pd1 0.500 0.500 0.500
N1 0.500 0.500 0.000
O1 0.000 0.500 0.500
O2 0.500 0.000 0.500